# 1
First-principles (GGA-PBE) data for a relaxed structure of TmMnInBr6, as listed in Alexandria via LeMat-Bulk.

a = 7.090 Å, b = 7.090 Å, c = 14.592 Å
α = 90.00°, β = 90.00°, γ = 120.00°
Fractional positions:
Tm 0.333 0.667 0.250
Tm 0.667 0.333 0.750
Mn 0.333 0.667 0.750
Mn 0.667 0.333 0.250
In 0.000 0.000 0.000
In 0.000 0.000 0.500
Br 0.008 0.374 0.642
Br 0.008 0.634 0.858
Br 0.366 0.374 0.858
Br 0.366 0.992 0.642
Br 0.374 0.008 0.142
Br 0.374 0.366 0.358
Br 0.626 0.634 0.642
Br 0.626 0.992 0.858
Br 0.634 0.008 0.358
Br 0.634 0.626 0.142
Br 0.992 0.366 0.142
Br 0.992 0.626 0.358

Summary:
D(E_F), states/eV/f.u.: 0.0
Formation energy from raw total energies, eV/f.u.: -11.16


# 2
First-principles (GGA-PBE) data for a relaxed structure of InMoBr2, as listed in Alexandria via LeMat-Bulk.

a = 7.673 Å, b = 7.673 Å, c = 7.673 Å
α = 155.39°, β = 143.15°, γ = 44.82°
Fractional positions:
In 0.000 0.000 0.000
Mo 0.181 0.681 0.500
Br 0.324 0.324 0.000
Br 0.648 0.148 0.500

Summary:
D(E_F), states/eV/f.u.: 2.3
Formation energy from raw total energies, eV/f.u.: 1.08


# 3
First-principles (GGA-PBE) data for a relaxed structure of InMoBr2, as listed in Alexandria via LeMat-Bulk.

a = 3.698 Å, b = 3.698 Å, c = 8.009 Å
α = 90.00°, β = 90.00°, γ = 90.00°
Fractional positions:
In 0.000 0.000 0.000
Mo 0.000 0.000 0.500
Br 0.500 0.500 0.281
Br 0.500 0.500 0.719

Summary:
D(E_F), states/eV/f.u.: 1.9
Formation energy from raw total energies, eV/f.u.: 1.80


# 4
First-principles (GGA-PBE) data for a relaxed structure of InMoBr2, as listed in Alexandria via LeMat-Bulk.

a = 7.795 Å, b = 7.795 Å, c = 5.029 Å
α = 108.51°, β = 108.51°, γ = 24.07°
Fractional positions:
In 0.000 0.000 0.000
Mo 0.500 0.500 0.500
Br 0.147 0.147 0.646
Br 0.853 0.853 0.354

Summary:
D(E_F), states/eV/f.u.: 1.2
Formation energy from raw total energies, eV/f.u.: -0.03


# 5
First-principles (GGA-PBE) data for a relaxed structure of InMoBr2, as listed in Alexandria via LeMat-Bulk.

a = 4.383 Å, b = 3.441 Å, c = 7.954 Å
α = 90.00°, β = 105.44°, γ = 90.00°
Fractional positions:
In 0.000 0.000 0.000
Mo 0.468 0.500 0.934
Br 0.344 0.000 0.677
Br 0.630 0.500 0.266

Summary:
D(E_F), states/eV/f.u.: 1.2
Formation energy from raw total energies, eV/f.u.: -0.34


# 6
First-principles (GGA-PBE) data for a relaxed structure of In2MoBr, as listed in Alexandria via LeMat-Bulk.

a = 7.354 Å, b = 7.354 Å, c = 7.354 Å
α = 156.10°, β = 142.90°, γ = 44.61°
Fractional positions:
In 0.188 0.188 0.000
In 0.812 0.812 0.000
Mo 0.000 0.500 0.500
Br 0.500 0.000 0.500

Summary:
D(E_F), states/eV/f.u.: 3.2
Formation energy from raw total energies, eV/f.u.: 1.73


# 7
First-principles (GGA-PBE) data for a relaxed structure of In2MoBr, as listed in Alexandria via LeMat-Bulk.

a = 5.685 Å, b = 5.685 Å, c = 5.685 Å
α = 134.71°, β = 134.71°, γ = 65.98°
Fractional positions:
In 0.000 0.000 0.000
In 0.750 0.250 0.500
Mo 0.250 0.750 0.500
Br 0.500 0.500 0.000

Summary:
D(E_F), states/eV/f.u.: 2.8
Formation energy from raw total energies, eV/f.u.: 2.75


# 8
First-principles (GGA-PBE) data for a relaxed structure of InMoBr2, as listed in Alexandria via LeMat-Bulk.

a = 3.493 Å, b = 3.493 Å, c = 10.205 Å
α = 90.00°, β = 90.00°, γ = 124.87°
Fractional positions:
In 0.000 0.000 0.000
Mo 0.000 0.000 0.500
Br 0.500 0.500 0.300
Br 0.500 0.500 0.700

Summary:
D(E_F), states/eV/f.u.: 2.3
Formation energy from raw total energies, eV/f.u.: 0.77